VASP calculation (PBE) on SrCr2Mo after structural relaxation.

Geometry as CIF:
```
data_SrCr2Mo
_chemical_formula_sum 'Sr1 Cr2 Mo1'
_cell_length_a 3.3819
_cell_length_b 3.3819
_cell_length_c 7.0775
_cell_angle_alpha 90.00
_cell_angle_beta 90.00
_cell_angle_gamma 90.00
_space_group_name_H-M_alt 'P 4/m m m'
_space_group_IT_number 123
_space_group_name_Hall '-P 4 2'
loop_
_atom_site_label
_atom_site_fract_x
_atom_site_fract_y
_atom_site_fract_z
Sr1 0.0000 0.0000 0.0000
Cr1 0.5000 0.5000 0.3561
Mo1 0.0000 0.0000 0.5000
```

Values from the calculation:
Excess energy over the best structure of this formula in the dataset ... 0.000 eV/atom
ΔE_f ... 687 meV/atom

***

VASP calculation (PBE) on SrCr2Mo after structural relaxation.

Geometry as CIF:
```
data_SrCr2Mo
_chemical_formula_sum 'Sr2 Cr4 Mo2'
_cell_length_a 9.0316
_cell_length_b 3.1389
_cell_length_c 6.0767
_cell_angle_alpha 90.00
_cell_angle_beta 102.56
_cell_angle_gamma 90.00
_space_group_name_H-M_alt 'C 1 2/m 1'
_space_group_IT_number 12
loop_
_space_group_symop_operation_xyz
'x,y,z'
'-x,-y,-z'
'-x,y,-z'
'x,-y,z'
'x+1/2,y+1/2,z'
'-x+1/2,-y+1/2,-z'
'-x+1/2,y+1/2,-z'
'x+1/2,-y+1/2,z'
loop_
_atom_site_label
_atom_site_fract_x
_atom_site_fract_y
_atom_site_fract_z
Sr1 0.0000 0.0000 0.0000
Cr1 0.2173 0.0000 0.6116
Mo1 0.0000 0.5000 0.5000
```

Values from the calculation:
Excess energy over the best structure of this formula in the dataset ... 0.112 eV/atom
ΔE_f ... 798 meV/atom

***

VASP calculation (PBE) on SrCr2Mo after structural relaxation.

Geometry as CIF:
```
data_SrCr2Mo
_chemical_formula_sum 'Sr2 Cr4 Mo2'
_cell_length_a 4.3408
_cell_length_b 4.3408
_cell_length_c 8.7773
_cell_angle_alpha 90.00
_cell_angle_beta 90.00
_cell_angle_gamma 90.00
_space_group_name_H-M_alt 'I -4 m 2'
_space_group_IT_number 119
_space_group_name_Hall 'I -4 -2'
loop_
_atom_site_label
_atom_site_fract_x
_atom_site_fract_y
_atom_site_fract_z
Sr1 0.0000 0.0000 0.0000
Cr1 0.0000 0.0000 0.5000
Cr2 0.0000 0.5000 0.7500
Mo1 0.0000 0.5000 0.2500
```

Values from the calculation:
Excess energy over the best structure of this formula in the dataset ... 0.518 eV/atom
ΔE_f ... 1204 meV/atom

***

VASP calculation (PBE) on SrCr2Mo after structural relaxation.

Geometry as CIF:
```
data_SrCr2Mo
_chemical_formula_sum 'Sr4 Cr8 Mo4'
_cell_length_a 6.4746
_cell_length_b 6.4746
_cell_length_c 6.4746
_cell_angle_alpha 90.00
_cell_angle_beta 90.00
_cell_angle_gamma 90.00
_space_group_name_H-M_alt 'F m -3 m'
_space_group_IT_number 225
_space_group_name_Hall '-F 4 2 3'
loop_
_atom_site_label
_atom_site_fract_x
_atom_site_fract_y
_atom_site_fract_z
Sr1 0.0000 0.0000 0.0000
Cr1 0.2500 0.2500 0.2500
Mo1 0.0000 0.0000 0.5000
```

Values from the calculation:
Excess energy over the best structure of this formula in the dataset ... 0.576 eV/atom
ΔE_f ... 1262 meV/atom

***

Q: Which value of ΔE_f does entry 1 give?
A: 687 meV/atom